1.
Entry from Alexandria via LeMat-Bulk: crystalline Hf2InNi2 at its relaxed geometry (GGA-PBEsol).

Values from the calculation:
**Total DFT energy (no corrections)**: -78.1 eV for the cell shown
**Symmetry**: P4/mbm, No. 127
**Magnetization**: 0.00 μB per formula unit
**DOS at the Fermi energy**: 5.3 states/eV per cell

a b c (Å): 3.2626 7.0730 7.0730
angles (deg): 90.00 90.00 90.00
Closest atoms and distances in Å follow each position.
Atoms (fractional coordinates):
Hf1 0.5000 0.1650 0.6650  6 Ni 2.64-2.65
Ni1 0.0000 0.8742 0.6258  1 Ni 2.52, 6 Hf 2.64-2.65, 2 In 2.79
In1 0.0000 0.0000 0.0000  4 Ni 2.79, 8 Hf 3.10
Hf2 0.5000 0.8350 0.3350  6 Ni 2.64-2.65
Ni2 0.0000 0.1258 0.3742  1 Ni 2.52, 6 Hf 2.64-2.65, 2 In 2.79
Ni3 0.0000 0.3742 0.8742  1 Ni 2.52, 6 Hf 2.64-2.65, 2 In 2.79
Ni4 0.0000 0.6258 0.1258  1 Ni 2.52, 6 Hf 2.64-2.65, 2 In 2.79
In2 0.0000 0.5000 0.5000  4 Ni 2.79, 8 Hf 3.10
Hf3 0.5000 0.6650 0.8350  6 Ni 2.64-2.65
Hf4 0.5000 0.3350 0.1650  6 Ni 2.64-2.65

***

2.
Entry from Alexandria via LeMat-Bulk: crystalline Cr2ReNi at its relaxed geometry (GGA-PBEsol).

Values from the calculation:
**Total DFT energy (no corrections)**: -39.4 eV for the cell shown
**Symmetry**: P2/m, No. 10
**Magnetization**: 0.00 μB per formula unit
**DOS at the Fermi energy**: 4.2 states/eV per cell

a b c (Å): 2.4778 4.0809 4.8295
angles (deg): 90.00 99.90 90.00
Closest atoms and distances in Å follow each position.
Atoms (fractional coordinates):
Cr1 0.7904 0.0000 0.7640  3 Cr 2.34-2.48, 2 Ni 2.50, 2 Re 2.51
Ni1 0.5000 0.5000 0.0000  2 Ni 2.48, 4 Cr 2.50, 2 Re 2.52
Cr2 0.2096 0.0000 0.2360  3 Cr 2.34-2.48, 2 Ni 2.50, 2 Re 2.51
Re1 0.0000 0.5000 0.5000  2 Re 2.48, 4 Cr 2.51, 2 Ni 2.52

***

3.
Entry from Alexandria via LeMat-Bulk: crystalline Ba2CdMo at its relaxed geometry (GGA-PBEsol).

Values from the calculation:
**Total DFT energy (no corrections)**: -14.2 eV for the cell shown
**Symmetry**: P4/mmm, No. 123
**Magnetization**: 0.00 μB per formula unit
**DOS at the Fermi energy**: 3.6 states/eV per cell

a b c (Å): 3.3286 3.3286 10.2844
angles (deg): 90.00 90.00 90.00
Closest atoms and distances in Å follow each position.
Atoms (fractional coordinates):
Ba1 0.0000 0.0000 0.7332  4 Ba 3.33, 4 Mo 3.36, 4 Cd 3.61
Mo1 0.5000 0.5000 0.5000  4 Mo 3.33, 8 Ba 3.36
Cd1 0.5000 0.5000 0.0000  4 Cd 3.33, 8 Ba 3.61
Ba2 0.0000 0.0000 0.2668  4 Ba 3.33, 4 Mo 3.36, 4 Cd 3.61